(1)
Density functional theory data (PBE) for crystalline Ac3SiIr at its relaxed geometry.

## Properties
ΔE_f (raw)	-0.465	eV per atom
raw total energy	-5.787	eV/atom
distance to the lowest polymorph of the same formula	36.2	meV/atom

Unit cell a=9.3171 b=7.1831 c=10.6138 alpha=90.00 beta=108.80 gamma=90.00
Last column: nearest neighbours and their distance in Å.
Space group P2_1/c (No. 14)
Asymmetric unit:
Ac: 0.1153 0.0389 0.2591  1 Ir 3.01, 2 Si 3.29-3.36
Ac: 0.2956 0.5689 0.4751  2 Ir 2.91-3.00
Ac: 0.3693 0.0595 0.6346  3 Ir 2.97-3.05
Si: 0.0229 0.6689 0.0062  1 Si 2.46
Ir: 0.4120 0.2348 0.3870  6 Ac 2.91-3.05

=====

(2)
Density functional theory data (PBE) for crystalline AcSi4Ir at its relaxed geometry.

## Properties
ΔE_f (raw)	-0.424	eV per atom
raw total energy	-6.201	eV/atom

Unit cell a=9.3044 b=8.5482 c=6.4119 alpha=90.00 beta=108.51 gamma=90.00
Last column: nearest neighbours and their distance in Å.
Space group C2/m (No. 12)
Asymmetric unit:
Ac: 0.2442 0.0000 0.9999  12 Si 3.27-3.55
Si: 0.0000 0.1353 0.5000  3 Si 2.31-2.41, 2 Ir 2.52
Si: 0.0336 0.2646 0.1849  2 Si 2.25-2.41, 1 Ir 2.36
Si: 0.1146 0.5000 0.4535  3 Si 2.39-2.60, 2 Ir 2.45
Ir: 0.2500 0.2500 0.5000  6 Si 2.36-2.52

=====

(3)
Density functional theory data (PBE) for crystalline Ac3Si2Ir4 at its relaxed geometry.

## Properties
ΔE_f (raw)	-0.781	eV per atom
raw total energy	-7.294	eV/atom

Unit cell a=11.6627 b=4.2538 c=8.9509 alpha=90.00 beta=111.28 gamma=90.00
Last column: nearest neighbours and their distance in Å.
Space group C2/m (No. 12)
Asymmetric unit:
Ac: 0.0000 0.0000 0.0000  8 Ir 3.22-3.58, 4 Si 3.46
Ac: 0.1185 0.5000 0.6883  6 Ir 3.11-3.33, 3 Si 3.28-3.33
Si: 0.1662 0.5000 0.3079  4 Ir 2.39-2.51
Ir: 0.1599 0.0000 0.4259  3 Si 2.39-2.51
Ir: 0.2206 0.5000 0.0705  1 Si 2.43, 2 Ir 2.69

=====

(4)
Density functional theory data (PBE) for crystalline Ac3Si4Ir4 at its relaxed geometry.

## Properties
ΔE_f (raw)	-0.834	eV per atom
raw total energy	-7.149	eV/atom
distance to the lowest polymorph of the same formula	69.2	meV/atom

Unit cell a=4.2653 b=4.4680 c=24.6525 alpha=90.00 beta=90.00 gamma=90.00
Last column: nearest neighbours and their distance in Å.
Space group Immm (No. 71)
Asymmetric unit:
Ac: 0.0000 0.0000 0.0000  4 Si 3.36, 8 Ir 3.37
Ac: 0.0000 0.5000 0.3524  6 Ir 3.20-3.36, 8 Si 3.28-3.39
Si: 0.0000 0.0000 0.2487  4 Ir 2.46-2.52
Si: 0.0000 0.5000 0.1021  3 Ir 2.43-2.45
Ir: 0.0000 0.0000 0.4450  2 Si 2.43, 1 Ir 2.71
Ir: 0.0000 0.5000 0.2015  5 Si 2.45-2.52

=====

(5)
Density functional theory data (PBE) for crystalline Ac2Si2Ir3 at its relaxed geometry.

## Properties
ΔE_f (raw)	-0.665	eV per atom
raw total energy	-7.186	eV/atom

Unit cell a=11.6162 b=3.9225 c=7.3195 alpha=90.00 beta=117.88 gamma=90.00
Last column: nearest neighbours and their distance in Å.
Space group C2/m (No. 12)
Asymmetric unit:
Ac: 0.1314 0.0000 0.2582  4 Si 3.18-3.39, 7 Ir 3.20-3.51
Si: 0.1374 0.0000 0.7258  5 Ir 2.42-2.58
Ir: 0.0000 0.5000 0.5000  4 Si 2.58, 2 Ir 2.79
Ir: 0.1513 0.5000 0.9282  3 Si 2.42-2.57

=====

(6)
Density functional theory data (PBE) for crystalline Ac2SiIr2 at its relaxed geometry.

## Properties
ΔE_f (raw)	-0.732	eV per atom
raw total energy	-7.004	eV/atom
distance to the lowest polymorph of the same formula	0.0	meV/atom

Unit cell a=10.1778 b=6.0265 c=7.8808 alpha=90.00 beta=102.76 gamma=90.00
Last column: nearest neighbours and their distance in Å.
Space group C2/c (No. 15)
Asymmetric unit:
Ac: 0.1518 0.1295 0.1493  6 Ir 3.14-3.24, 2 Si 3.37-3.46
Si: 0.0000 0.4070 0.7500  4 Ir 2.52
Ir: 0.1227 0.3696 0.5065  2 Si 2.52

=====

(7)
Density functional theory data (PBE) for crystalline AcSmSiIr at its relaxed geometry.

## Properties
ΔE_f (raw)	-0.377	eV per atom
raw total energy	-6.155	eV/atom

Unit cell a=7.3602 b=7.3602 c=7.3602 alpha=90.00 beta=90.00 gamma=90.00
Last column: nearest neighbours and their distance in Å.
Space group F-43m (No. 216)
Asymmetric unit:
Ac: 0.0000 0.0000 0.0000  4 Ir 3.19, 4 Si 3.19
Sm: 0.0000 0.0000 0.5000  4 Si 3.19, 4 Ir 3.19
Si: 0.2500 0.2500 0.2500  4 Ac 3.19, 4 Sm 3.19
Ir: 0.2500 0.2500 0.7500  4 Ac 3.19, 4 Sm 3.19

=====

(8)
Density functional theory data (PBE) for crystalline AcTmSiIr at its relaxed geometry.

## Properties
ΔE_f (raw)	-0.402	eV per atom
raw total energy	-6.118	eV/atom

Unit cell a=7.2435 b=7.2435 c=7.2435 alpha=90.00 beta=90.00 gamma=90.00
Last column: nearest neighbours and their distance in Å.
Space group F-43m (No. 216)
Asymmetric unit:
Ac: 0.0000 0.0000 0.0000  4 Ir 3.14, 4 Si 3.14
Tm: 0.0000 0.0000 0.5000  4 Ir 3.14, 4 Si 3.14
Si: 0.2500 0.2500 0.2500  4 Ac 3.14, 4 Tm 3.14
Ir: 0.2500 0.2500 0.7500  4 Ac 3.14, 4 Tm 3.14

=====

(9)
Density functional theory data (PBE) for crystalline Ac2TmSi3Ir4 at its relaxed geometry.

## Properties
ΔE_f (raw)	-0.907	eV per atom
raw total energy	-7.347	eV/atom

Unit cell a=4.2445 b=4.2445 c=11.0311 alpha=90.00 beta=90.00 gamma=90.00
Last column: nearest neighbours and their distance in Å.
Space group P-4m2 (No. 115)
Asymmetric unit:
Ac: 0.0000 0.5000 0.2387  8 Ir 3.21-3.38, 6 Si 3.29-3.58, 2 Tm 3.58
Tm: 0.0000 0.0000 0.5000  4 Ir 2.75, 4 Si 3.00
Si: 0.0000 0.5000 0.8844  5 Ir 2.48-2.50
Si: 0.5000 0.5000 0.5000  4 Ir 2.75, 4 Tm 3.00
Ir: 0.0000 0.0000 0.0000  4 Si 2.48
Ir: 0.0000 0.5000 0.6578  3 Si 2.50-2.75, 2 Tm 2.75
Ir: 0.5000 0.5000 0.0000  4 Si 2.48

=====

(10)
Density functional theory data (PBE) for crystalline Ac2USi3Ir12 at its relaxed geometry.

## Properties
ΔE_f (raw)	-0.002	eV per atom
raw total energy	-7.897	eV/atom

Unit cell a=8.0929 b=8.0929 c=18.9767 alpha=90.00 beta=90.00 gamma=120.00
Last column: nearest neighbours and their distance in Å.
Space group R-3m (No. 166, hexagonal axes)
Asymmetric unit:
Ac: 0.0000 0.0000 0.1081  6 Ir 2.88-2.93
U: 0.0000 0.0000 0.5000  6 Ir 2.55
Si: 0.0000 0.5000 0.0000  6 Ir 2.34-2.39
Ir: 0.0128 0.5064 0.8743  1 Si 2.39, 1 U 2.55
Ir: 0.0275 0.5137 0.3688  2 Si 2.34

=====

(11)
Density functional theory data (PBE) for crystalline AcYSiIr at its relaxed geometry.

## Properties
ΔE_f (raw)	-0.401	eV per atom
raw total energy	-6.615	eV/atom

Unit cell a=7.2969 b=7.2969 c=7.2969 alpha=90.00 beta=90.00 gamma=90.00
Last column: nearest neighbours and their distance in Å.
Space group F-43m (No. 216)
Asymmetric unit:
Ac: 0.0000 0.0000 0.0000  4 Si 3.16, 4 Ir 3.16
Y: 0.0000 0.0000 0.5000  4 Ir 3.16, 4 Si 3.16
Si: 0.2500 0.2500 0.2500  4 Y 3.16, 4 Ac 3.16
Ir: 0.2500 0.2500 0.7500  4 Ac 3.16, 4 Y 3.16

=====

(12)
Density functional theory data (PBE) for crystalline AcZn2SiIr at its relaxed geometry.

## Properties
ΔE_f (raw)	-0.458	eV per atom
raw total energy	-4.646	eV/atom

Unit cell a=4.1698 b=4.3489 c=10.8811 alpha=90.00 beta=90.00 gamma=90.00
Last column: nearest neighbours and their distance in Å.
Space group Imm2 (No. 44)
Asymmetric unit:
Ac: 0.0000 0.0000 0.0000  8 Zn 3.29-3.51, 4 Si 3.31, 4 Ir 3.39-3.53
Zn: 0.0000 0.0000 0.6215  2 Zn 2.53, 2 Ir 2.65, 1 Si 2.71
Zn: 0.0000 0.5000 0.2532  2 Zn 2.53, 2 Si 2.53
Si: 0.0000 0.0000 0.3729  2 Ir 2.41, 2 Zn 2.53
Ir: 0.0000 0.5000 0.7614  2 Si 2.41, 2 Zn 2.65

=====

(13)
Density functional theory data (PBE) for crystalline AcSm3Ir8 at its relaxed geometry.

## Properties
raw total energy	-8.090	eV/atom

Unit cell a=5.4525 b=5.4525 c=8.8916 alpha=90.00 beta=90.00 gamma=120.00
Last column: nearest neighbours and their distance in Å.
Space group P3m1 (No. 156)
Asymmetric unit:
Ac: 0.0000 0.0000 0.0000  12 Ir 3.20-3.25, 4 Sm 3.26-3.38
Sm: 0.0000 0.0000 0.3668  12 Ir 3.16-3.20, 1 Ac 3.26, 3 Sm 3.36
Sm: 0.6667 0.3333 0.5002  12 Ir 3.15-3.20, 4 Sm 3.21-3.36
Sm: 0.6667 0.3333 0.8615  12 Ir 3.17-3.29, 1 Sm 3.21, 3 Ac 3.38
Ir: 0.1649 0.3297 0.6787  6 Ir 2.70-2.76
Ir: 0.3333 0.6667 0.4326  6 Ir 2.70-2.71
Ir: 0.3333 0.6667 0.9316  6 Ir 2.75-2.78
Ir: 0.5029 0.0059 0.1875  6 Ir 2.68-2.78

=====

(14)
Density functional theory data (PBE) for crystalline Ac2SmIr2 at its relaxed geometry.

## Properties
raw total energy	-6.743	eV/atom
distance to the lowest polymorph of the same formula	0.0	meV/atom

Unit cell a=4.2309 b=13.9394 c=10.0709 alpha=90.00 beta=90.00 gamma=90.00
Last column: nearest neighbours and their distance in Å.
Space group Cmcm (No. 63)
Asymmetric unit:
Ac: 0.0000 0.1416 0.0639  4 Ir 2.96-3.29
Sm: 0.0000 0.4019 0.2500  4 Ir 2.87
Ir: 0.0000 0.2376 0.7500  2 Sm 2.87
Ir: 0.0000 0.5000 0.0000  2 Sm 2.87, 4 Ac 2.96

=====

(15)
Density functional theory data (PBE) for crystalline Ac3SmIr at its relaxed geometry.

## Properties
raw total energy	-5.368	eV/atom
distance to the lowest polymorph of the same formula	134.3	meV/atom

Unit cell a=5.8911 b=5.8911 c=5.8911 alpha=90.00 beta=90.00 gamma=90.00
Last column: nearest neighbours and their distance in Å.
Space group Pm-3m (No. 221)
Asymmetric unit:
Ac: 0.0000 0.0000 0.5000  2 Ir 2.95
Sm: 0.5000 0.5000 0.5000  12 Ac 4.17
Ir: 0.0000 0.0000 0.0000  6 Ac 2.95

=====

(16)
Density functional theory data (PBE) for crystalline Ac5SmIr4 at its relaxed geometry.

## Properties
raw total energy	-6.545	eV/atom
distance to the lowest polymorph of the same formula	91.9	meV/atom

Unit cell a=9.1014 b=10.1514 c=7.3227 alpha=90.00 beta=90.00 gamma=90.00
Last column: nearest neighbours and their distance in Å.
Space group Pmmn (No. 59, origin choice 2)
Asymmetric unit:
Ac: 0.0038 0.0553 0.2449  3 Ir 2.99-3.03
Ac: 0.2500 0.2500 0.7020  4 Ir 2.90-2.97
Sm: 0.2500 0.7500 0.3077  4 Ir 2.81-2.87
Ir: 0.0087 0.7500 0.0679  1 Sm 2.81, 3 Ac 2.90-3.03
Ir: 0.2500 0.5041 0.5016  1 Sm 2.87, 5 Ac 2.97-3.01

=====

(17)
Density functional theory data (PBE) for crystalline Ac4SmIr3 at its relaxed geometry.

## Properties
raw total energy	-6.562	eV/atom

Unit cell a=14.2337 b=7.5259 c=11.0085 alpha=90.00 beta=113.22 gamma=90.00
Last column: nearest neighbours and their distance in Å.
Space group Cc (No. 9)
Asymmetric unit:
Ac: 0.0000 0.1630 0.0000  4 Ir 2.98-3.08
Ac: 0.0926 0.3264 0.7045  4 Ir 3.03-3.08
Ac: 0.1902 0.1655 0.4178  4 Ir 2.99-3.04
Ac: 0.2902 0.3266 0.1055  3 Ir 2.93-2.98
Sm: 0.4006 0.1741 0.8056  3 Ir 2.86-2.87
Ir: 0.0898 0.5001 0.4529  1 Sm 2.86, 5 Ac 2.98-3.05
Ir: 0.2072 0.0010 0.6761  1 Sm 2.87, 5 Ac 2.97-3.08
Ir: 0.4850 0.4903 0.7444  1 Sm 2.86, 5 Ac 2.93-3.08

=====

(18)
Density functional theory data (PBE) for crystalline Ac5SmIr4 at its relaxed geometry.

## Properties
raw total energy	-6.637	eV/atom
distance to the lowest polymorph of the same formula	0.0	meV/atom

Unit cell a=18.5889 b=4.3514 c=8.3997 alpha=90.00 beta=105.02 gamma=90.00
Last column: nearest neighbours and their distance in Å.
Space group C2/m (No. 12)
Asymmetric unit:
Ac: 0.0000 0.0000 0.0000  4 Ir 3.02
Ac: 0.1605 0.5000 0.8280  3 Ir 2.91
Ac: 0.1658 0.5000 0.3559  4 Ir 2.95-3.00
Sm: 0.0000 0.0000 0.5000  6 Ir 3.03-3.05
Ir: 0.0014 0.5000 0.2506  4 Ac 2.91-3.02, 2 Sm 3.03
Ir: 0.1697 0.0000 0.6046  5 Ac 2.91-3.00, 1 Sm 3.05

=====

(19)
Density functional theory data (PBE) for crystalline Ac2Sm3Ir2 at its relaxed geometry.

## Properties
raw total energy	-6.239	eV/atom

Unit cell a=12.7641 b=4.0188 c=9.4205 alpha=90.00 beta=116.95 gamma=90.00
Last column: nearest neighbours and their distance in Å.
Space group C2/m (No. 12)
Asymmetric unit:
Ac: 0.1669 0.0000 0.2981  2 Ir 3.02
Sm: 0.0000 0.5000 0.5000  4 Ir 3.11
Sm: 0.1218 0.5000 0.9229  3 Ir 2.87-3.03
Ir: 0.1734 0.0000 0.7463  5 Sm 2.87-3.11, 2 Ac 3.02

=====

(20)
Density functional theory data (PBE) for crystalline Ac3SmIr8 at its relaxed geometry.

## Properties
raw total energy	-7.922	eV/atom

Unit cell a=5.5331 b=5.5331 c=27.0833 alpha=90.00 beta=90.00 gamma=120.00
Last column: nearest neighbours and their distance in Å.
Space group R3m (No. 160, hexagonal axes)
Asymmetric unit:
Ac: 0.0000 0.0000 0.0000  12 Ir 3.24-3.28, 4 Ac 3.40
Ac: 0.0000 0.0000 0.1256  12 Ir 3.19-3.24, 3 Sm 3.38, 1 Ac 3.40
Ac: 0.0000 0.0000 0.6237  12 Ir 3.25-3.31, 1 Sm 3.37, 3 Ac 3.40
Sm: 0.0000 0.0000 0.4992  12 Ir 3.19-3.24, 4 Ac 3.37-3.38
Ir: 0.0000 0.0000 0.3123  6 Ir 2.79-2.80
Ir: 0.0000 0.0000 0.8125  6 Ir 2.73-2.74
Ir: 0.9996 0.4998 0.5608  6 Ir 2.73-2.80
Ir: 0.0015 0.5008 0.0637  6 Ir 2.74-2.79